Record 1
5
Lattice="4.2470 0.0000 0.0000 0.0000 4.2470 0.0000 0.0000 0.0000 4.2470" Properties=species:S:1:pos:R:3 comment="MnFe3As | Alexandria via LeMat-Bulk | PBE | relaxed" volume_a3_per_cell=76.6 space_group="Pm-3m, No. 221" ef_ev_per_atom=1.12 pbc="T T T"
Mn 0.0000 0.0000 0.0000
Fe 0.0000 0.0000 2.1235
Fe 0.0000 2.1235 0.0000
Fe 2.1235 0.0000 0.0000
As 2.1235 2.1235 2.1235

Record 2
16
Lattice="4.1602 0.0000 0.0000 0.0000 4.1602 0.0000 0.0000 0.0000 17.3558" Properties=species:S:1:pos:R:3 comment="Li12Tl3Hg | Alexandria via LeMat-Bulk | PBE | relaxed" volume_a3_per_cell=300.4 space_group="P4/mmm, No. 123" ef_ev_per_atom=-0.21 pbc="T T T"
Li 0.0000 0.0000 0.0000
Li 0.0000 0.0000 4.2185
Li 0.0000 0.0000 8.6779
Li 0.0000 0.0000 13.1372
Li 0.0000 2.0801 2.0425
Li 0.0000 2.0801 6.4309
Li 0.0000 2.0801 10.9248
Li 0.0000 2.0801 15.3133
Li 2.0801 0.0000 2.0425
Li 2.0801 0.0000 6.4309
Li 2.0801 0.0000 10.9248
Li 2.0801 0.0000 15.3133
Tl 2.0801 2.0801 4.2452
Tl 2.0801 2.0801 8.6779
Tl 2.0801 2.0801 13.1106
Hg 2.0801 2.0801 0.0000

Record 3
6
Lattice="2.0355 -8.6212 0.0000 2.0355 8.6212 0.0000 0.0000 0.0000 4.3106" Properties=species:S:1:pos:R:3 comment="LiAcPd | Alexandria via LeMat-Bulk | PBE | relaxed" volume_a3_per_cell=151.3 space_group="Cmcm, No. 63" ef_ev_per_atom=-0.45 polymorph_energy_ev_per_atom=0.106 pbc="T T T"
Li 2.0355 4.3460 3.2329
Li 2.0355 -4.3460 1.0776
Ac 2.0355 7.0272 1.0776
Ac 2.0355 -7.0272 3.2329
Pd 2.0355 2.3422 1.0776
Pd 2.0355 -2.3422 3.2329

Number 1: magnetic moment 5.7 Bohr magnetons per cell, calculated total energy -6.7230 eV/atom. Number 2: magnetic moment 0.0 Bohr magnetons per cell, calculated total energy -2.1062 eV/atom. Number 3: magnetic moment 0.0 Bohr magnetons per cell, calculated total energy -4.1918 eV/atom.